# Rb2ReTeS2 (PBE-GGA, optimized geometry)
# ρ: 4.386 g/cm3
# Calculated total energy: -29.50 eV/f.u.
data_Rb2ReTeS2
_chemical_formula_sum 'Rb4 Re2 Te2 S4'
_cell_length_a 7.1697
_cell_length_b 7.8722
_cell_length_c 8.9800
_cell_angle_alpha 73.80
_cell_angle_beta 67.26
_cell_angle_gamma 63.73
_space_group_name_H-M_alt 'P -1'
_space_group_IT_number 2
_space_group_name_Hall '-P 1'
loop_
_atom_site_label
_atom_site_fract_x
_atom_site_fract_y
_atom_site_fract_z
_atom_site_occupancy
Rb1 0.0889 0.2106 0.1333 1
Rb2 0.2869 0.6051 0.3366 1
Re1 0.3869 0.0621 0.6477 1
Te1 0.3917 0.7971 0.8976 1
S1 0.1939 0.3579 0.7148 1
S2 0.2566 0.9883 0.4902 1